Compound: Ac2HoTh
Source: the Alexandria database
Functional: GGA-PBE
Structure: optimized geometry

The space group is R-3m (No. 166, hexagonal axes) and the conventional cell measures 3.6751, 3.6751 and 39.4325 Å, with angles of 90.00, 90.00 and 120.00 degrees. The asymmetric unit holds Ac at (0.0000, 0.0000, 0.0895), Ho at (0.0000, 0.0000, 0.5000) and Th at (0.0000, 0.0000, 0.0000).

The size of the total moment is 0.000 μB per atom. Its crystal system is trigonal. Its total DFT energy (no corrections) is -4.77 eV per atom. For the relative energy among the computed polymorphs, the calculation gives 0.163 eV/atom. The formation energy is 0.2885 eV per atom.